## Rb2HfRuCl (PBE)

Data for a geometry-optimized Rb2HfRuCl structure.

Energy relative to the elements, uncorrected = 0.276 eV per atom
Crystal system = tetragonal
Total magnetization = 0.000 μB per atom

The structure in CIF format:
```
data_Rb2HfRuCl
_symmetry_space_group_name_H-M 'P 4/m m m'
_symmetry_Int_Tables_number 123
_symmetry_space_group_name_Hall '-P 4 2'
_cell_length_a 6.607
_cell_length_b 6.607
_cell_length_c 4.706
_cell_angle_alpha 90.00
_cell_angle_beta 90.00
_cell_angle_gamma 90.00
loop_
_atom_site_label
_atom_site_type_symbol
_atom_site_fract_x
_atom_site_fract_y
_atom_site_fract_z
Rb1 Rb 0.000 0.500 0.000
Hf1 Hf 0.000 0.000 0.500
Ru1 Ru 0.000 0.000 0.000
Cl1 Cl 0.500 0.500 0.500
```